LiCu2AgH | PBE | optimized geometry

Cell lengths 3.7216, 3.7216, 4.0979 Å; angles 90.00, 90.00, 90.00 degrees
Last column: nearest neighbours and their distance in Å.
Element x y z (fractional)
Li (0.0000, 0.0000, 0.0000)  2 H 2.05
Cu (0.0000, 0.5000, 0.5000)  2 H 1.86
Cu (0.5000, 0.0000, 0.5000)  2 H 1.86
Ag (0.5000, 0.5000, 0.0000)  4 Li 2.63, 8 Cu 2.77
H (0.0000, 0.0000, 0.5000)  4 Cu 1.86, 2 Li 2.05

## Properties
**Space-group type**: P4/mmm (123)
**DFT total energy**: -16.44 eV/cell